Ba8Pd3Br3O | PBE-GGA | relaxed

ΔE_f (raw) = -1.15 eV/atom
DFT total energy = -3.884 eV per atom
space group = R-3m
magnetization = 0.037 μB per atom

Lattice parameters (Å, degrees): 9.061 9.056 9.818 117.45 90.02 120.01
Fractional positions:
O (0.000, 0.000, 0.500)
Pd (0.500, 0.000, 0.500)
Pd (0.000, 0.500, 0.500)
Pd (0.500, 0.500, 0.500)
Ba (0.242, 0.022, 0.303)
Ba (0.220, 0.978, 0.697)
Ba (0.780, 0.561, 0.303)
Ba (0.740, 0.479, 0.718)
Ba (0.780, 0.022, 0.303)
Ba (0.260, 0.521, 0.282)
Ba (0.758, 0.978, 0.697)
Ba (0.220, 0.439, 0.697)
Br (0.000, 0.500, 0.000)
Br (0.500, 0.500, 0.000)
Br (0.000, 0.000, 0.000)



BaPmBrO2 | PBE-GGA | relaxed

ΔE_f (raw) = -2.82 eV/atom
DFT total energy = -6.472 eV per atom
space group = P4mm
magnetization = 0.000 μB per atom

Lattice parameters (Å, degrees): 4.342 4.342 7.094 90.00 90.00 90.00
Fractional positions:
Pm (0.000, 0.000, 0.022)
Br (0.000, 0.000, 0.443)
O (0.000, 0.500, 0.914)
O (0.500, 0.000, 0.914)
Ba (0.500, 0.500, 0.708)



Ba2PmBr2O2 | PBE-GGA | relaxed

ΔE_f (raw) = -2.34 eV/atom
DFT total energy = -5.460 eV per atom
space group = I4/mmm
magnetization = 0.073 μB per atom

Lattice parameters (Å, degrees): 4.672 4.672 9.057 104.95 104.95 90.00
Last column: magnetic moment on the atom in μB.
Fractional positions:
Br (0.184, 0.184, 0.367)  0.01
Br (0.816, 0.816, 0.633)  0.01
Ba (0.608, 0.608, 0.216)  0.06
Ba (0.392, 0.392, 0.784)  0.06
O (0.000, 0.500, 0.000)  -0.01
O (0.500, 0.000, 0.000)  -0.01
Pm (0.000, 0.000, 0.000)  0.15



Ba2PrBr2O2 | PBE-GGA | relaxed

ΔE_f (raw) = -2.30 eV/atom
DFT total energy = -5.425 eV per atom
space group = I4/mmm
magnetization = 0.078 μB per atom

Lattice parameters (Å, degrees): 4.736 4.736 9.066 105.14 105.14 90.00
Last column: magnetic moment on the atom in μB.
Fractional positions:
Br (0.815, 0.815, 0.629)  0.01
Br (0.185, 0.185, 0.371)  0.01
O (0.000, 0.500, 0.000)  -0.01
O (0.500, 0.000, 0.000)  -0.01
Pr (0.000, 0.000, 0.000)  0.15
Ba (0.392, 0.392, 0.783)  0.06
Ba (0.608, 0.608, 0.217)  0.06



Ba6Pt2Br3O | PBE-GGA | relaxed

ΔE_f (raw) = -1.50 eV/atom
DFT total energy = -4.301 eV per atom
space group = C2/m
magnetization = 0.000 μB per atom

Lattice parameters (Å, degrees): 7.691 7.691 8.594 98.66 98.66 119.93
Fractional positions:
Br (0.170, 0.830, 0.500)
Br (0.830, 0.170, 0.500)
Br (0.500, 0.500, 0.500)
Ba (0.625, 0.933, 0.798)
Ba (0.760, 0.760, 0.202)
Ba (0.933, 0.625, 0.798)
Ba (0.375, 0.067, 0.202)
Ba (0.240, 0.240, 0.798)
Ba (0.067, 0.375, 0.202)
Pt (0.334, 0.666, 0.000)
Pt (0.666, 0.334, 0.000)
O (0.000, 0.000, 0.000)



Ba8Pt3Br4O | PBE-GGA | relaxed

ΔE_f (raw) = -1.44 eV/atom
DFT total energy = -4.258 eV per atom
space group = C2/m
magnetization = 0.000 μB per atom

Lattice parameters (Å, degrees): 8.966 9.730 8.988 117.58 119.92 90.00
Fractional positions:
Ba (0.756, 0.697, 0.977)
Ba (0.261, 0.282, 0.521)
Ba (0.229, 0.704, 0.458)
Ba (0.244, 0.303, 0.023)
Ba (0.779, 0.303, 0.023)
Ba (0.739, 0.718, 0.479)
Ba (0.221, 0.697, 0.977)
Ba (0.771, 0.296, 0.542)
Br (0.000, 0.000, 0.000)
Br (0.500, 0.000, 0.500)
Br (0.000, 0.000, 0.500)
Br (0.500, 0.000, 0.000)
Pt (0.500, 0.500, 0.000)
Pt (0.000, 0.500, 0.500)
Pt (0.500, 0.500, 0.500)
O (0.000, 0.500, 0.000)



Ba6Pt2Br2O | PBE-GGA | relaxed

ΔE_f (raw) = -1.32 eV/atom
DFT total energy = -4.223 eV per atom
space group = C2/m
magnetization = 0.001 μB per atom

Lattice parameters (Å, degrees): 7.717 7.717 8.506 99.63 99.63 119.56
Fractional positions:
O (0.000, 0.000, 0.500)
Ba (0.385, 0.076, 0.709)
Ba (0.615, 0.924, 0.291)
Ba (0.232, 0.232, 0.305)
Ba (0.076, 0.385, 0.709)
Ba (0.924, 0.615, 0.291)
Ba (0.768, 0.768, 0.695)
Br (0.829, 0.171, 0.000)
Br (0.171, 0.829, 0.000)
Pt (0.671, 0.329, 0.500)
Pt (0.329, 0.671, 0.500)



Ba8Pt3Br3O | PBE-GGA | relaxed

ΔE_f (raw) = -1.29 eV/atom
DFT total energy = -4.188 eV per atom
space group = R-3m
magnetization = 0.044 μB per atom

Lattice parameters (Å, degrees): 9.023 9.019 9.761 117.52 90.02 120.00
Fractional positions:
Ba (0.221, 0.976, 0.696)
Ba (0.245, 0.024, 0.304)
Ba (0.779, 0.024, 0.304)
Ba (0.779, 0.559, 0.304)
Ba (0.755, 0.976, 0.696)
Ba (0.221, 0.441, 0.696)
Ba (0.739, 0.477, 0.715)
Ba (0.261, 0.523, 0.285)
Pt (0.000, 0.500, 0.500)
Pt (0.500, 0.500, 0.500)
Pt (0.500, 0.000, 0.500)
Br (0.500, 0.500, 0.000)
Br (0.000, 0.500, 0.000)
Br (0.000, 0.000, 0.000)
O (0.000, 0.000, 0.500)



Ba2PuBr3O3 | PBE-GGA | relaxed

ΔE_f (raw) = -1.90 eV/atom
DFT total energy = -6.128 eV per atom
space group = P-62m
magnetization = 0.324 μB per atom

Lattice parameters (Å, degrees): 3.552 8.509 8.509 120.00 90.00 90.00
Last column: magnetic moment on the atom in μB.
Fractional positions:
O (0.500, 0.827, 0.000)  -0.29
O (0.500, 0.000, 0.827)  -0.29
O (0.500, 0.173, 0.173)  -0.29
Ba (0.500, 0.667, 0.333)  0.00
Ba (0.500, 0.333, 0.667)  0.00
Br (0.000, 0.407, 0.000)  0.00
Br (0.000, 0.000, 0.407)  0.00
Br (0.000, 0.593, 0.593)  0.00
Pu (0.000, 0.000, 0.000)  3.90



Ba3PuBr2O6 | PBE-GGA | relaxed

ΔE_f (raw) = -2.22 eV/atom
DFT total energy = -6.657 eV per atom
space group = C2/m
magnetization = 0.012 μB per atom

Lattice parameters (Å, degrees): 5.831 7.296 7.767 118.01 86.07 90.00
Last column: magnetic moment on the atom in μB.
Fractional positions:
O (0.684, 0.260, 0.109)  0.04
O (0.316, 0.740, 0.891)  0.04
O (0.684, 0.849, 0.109)  0.04
O (0.656, 0.867, 0.735)  0.00
O (0.316, 0.151, 0.891)  0.04
O (0.344, 0.133, 0.265)  0.00
Pu (0.500, 0.000, 0.000)  -0.08
Br (0.938, 0.279, 0.557)  0.00
Br (0.062, 0.721, 0.443)  0.00
Ba (0.000, 0.500, 0.000)  0.00
Ba (0.500, 0.500, 0.500)  0.00
Ba (0.500, 0.000, 0.500)  0.00



Ba2PuBr2O4 | PBE-GGA | relaxed

ΔE_f (raw) = -2.34 eV/atom
DFT total energy = -6.937 eV per atom
space group = I4/mmm
magnetization = 0.222 μB per atom

Lattice parameters (Å, degrees): 6.512 6.512 6.512 92.65 118.48 118.48
Last column: magnetic moment on the atom in μB.
Fractional positions:
Pu (0.000, 0.000, 0.000)  2.31
Br (0.000, 0.686, 0.686)  -0.02
Br (0.000, 0.314, 0.314)  -0.02
O (0.000, 0.793, 0.207)  -0.08
O (0.000, 0.207, 0.793)  -0.08
O (0.414, 0.207, 0.207)  -0.08
O (0.586, 0.793, 0.793)  -0.08
Ba (0.500, 0.750, 0.250)  0.01
Ba (0.500, 0.250, 0.750)  0.01



Ba2PuBrO4 | PBE-GGA | relaxed

ΔE_f (raw) = -2.64 eV/atom
DFT total energy = -7.599 eV per atom
space group = C2/m
magnetization = 0.375 μB per atom

Lattice parameters (Å, degrees): 3.691 5.861 9.615 79.51 78.93 71.65
Last column: magnetic moment on the atom in μB.
Fractional positions:
O (0.605, 0.741, 0.049)  -0.07
O (0.858, 0.092, 0.191)  -0.12
O (0.395, 0.259, 0.951)  -0.07
O (0.142, 0.908, 0.809)  -0.12
Ba (0.177, 0.427, 0.219)  0.00
Ba (0.823, 0.573, 0.781)  0.00
Pu (0.000, 0.000, 0.000)  3.35
Br (0.500, 0.500, 0.500)  0.00



Copy entry 10 word for word.
Ba3PuBr2O6 | PBE-GGA | relaxed

ΔE_f (raw) = -2.22 eV/atom
DFT total energy = -6.657 eV per atom
space group = C2/m
magnetization = 0.012 μB per atom

Lattice parameters (Å, degrees): 5.831 7.296 7.767 118.01 86.07 90.00
Last column: magnetic moment on the atom in μB.
Fractional positions:
O (0.684, 0.260, 0.109)  0.04
O (0.316, 0.740, 0.891)  0.04
O (0.684, 0.849, 0.109)  0.04
O (0.656, 0.867, 0.735)  0.00
O (0.316, 0.151, 0.891)  0.04
O (0.344, 0.133, 0.265)  0.00
Pu (0.500, 0.000, 0.000)  -0.08
Br (0.938, 0.279, 0.557)  0.00
Br (0.062, 0.721, 0.443)  0.00
Ba (0.000, 0.500, 0.000)  0.00
Ba (0.500, 0.500, 0.500)  0.00
Ba (0.500, 0.000, 0.500)  0.00